## SrTcSb3 (PBE)

Data for a geometry-optimized SrTcSb3 structure.

abc: 5.284 5.284 5.284
angles: 90.00 90.00 90.00
Each line ends with the local moment (μB).
Fractional coordinates of all 5 atoms:
Sb 0.000 0.500 0.000  0.00
Sb 0.000 0.000 0.500  0.00
Sb 0.500 0.000 0.000  -0.01
Tc 0.000 0.000 0.000  0.14
Sr 0.500 0.500 0.500  0.00

Calculated values
Uncorrected formation energy (eV per formula unit): 0.132
DOS at the Fermi energy (states/eV per cell): 5.02
Uncorrected energy (eV/atom): -4.857
E above lowest polymorph (meV/atom): 0.0

=====

## Ac8SiNi3Cl4 (PBE)

Data for a geometry-optimized Ac8SiNi3Cl4 structure.

abc: 8.768 9.185 8.769
angles: 118.51 119.99 90.00
Fractional coordinates of all 16 atoms:
Ac 0.243 0.711 0.969
Ac 0.243 0.711 0.485
Ac 0.264 0.293 0.529
Ac 0.726 0.711 0.969
Ac 0.274 0.289 0.031
Ac 0.736 0.707 0.471
Ac 0.757 0.289 0.515
Ac 0.757 0.289 0.031
Si 0.000 0.500 0.000
Ni 0.500 0.500 0.000
Ni 0.500 0.500 0.500
Ni 0.000 0.500 0.500
Cl 0.500 0.000 0.000
Cl 0.500 0.000 0.500
Cl 0.000 0.000 0.000
Cl 0.000 0.000 0.500

Calculated values
Uncorrected formation energy (eV per formula unit): -15.044
DOS at the Fermi energy (states/eV per cell): 15.33
Uncorrected energy (eV/atom): -4.879

=====

## Hf2TiO (PBE)

Data for a geometry-optimized Hf2TiO structure.

abc: 3.234 4.126 5.512
angles: 111.99 107.05 89.96
Fractional coordinates of all 4 atoms:
Hf 0.163 0.172 0.326
Hf 0.837 0.846 0.674
Ti 0.500 0.509 0.000
O 0.500 0.009 0.000

Calculated values
Uncorrected formation energy (eV per formula unit): -5.106
DOS at the Fermi energy (states/eV per cell): 3.44
Uncorrected energy (eV/atom): -9.467

=====

## Sr3ThSe4 (PBE)

Data for a geometry-optimized Sr3ThSe4 structure.

abc: 4.307 7.596 7.596
angles: 108.93 90.00 90.00
Fractional coordinates of all 8 atoms:
Sr 0.000 0.000 0.500
Sr 0.500 0.500 0.500
Sr 0.000 0.500 0.000
Th 0.500 0.000 0.000
Se 0.000 0.242 0.242
Se 0.500 0.757 0.243
Se 0.000 0.758 0.758
Se 0.500 0.243 0.757

Calculated values
Uncorrected formation energy (eV per formula unit): -14.803
DOS at the Fermi energy (states/eV per cell): 3.34
Uncorrected energy (eV/atom): -5.151

=====

## NaPmAg2I6 (PBE)

Data for a geometry-optimized NaPmAg2I6 structure.

abc: 7.927 7.924 8.794
angles: 90.00 116.81 120.00
Fractional coordinates of all 10 atoms:
Na 0.996 0.998 0.980
Pm 0.997 0.498 0.480
Ag 0.515 0.757 0.258
Ag 0.479 0.239 0.704
I 0.484 0.891 0.724
I 0.509 0.104 0.236
I 0.846 0.741 0.236
I 0.146 0.403 0.236
I 0.847 0.592 0.724
I 0.146 0.254 0.724

Calculated values
Uncorrected formation energy (eV per formula unit): -8.772
DOS at the Fermi energy (states/eV per cell): 0.00
Uncorrected energy (eV/atom): -2.985

=====

## Be2Nb2Re (PBE)

Data for a geometry-optimized Be2Nb2Re structure.

abc: 6.360 6.360 3.306
angles: 90.00 90.00 90.00
Fractional coordinates of all 10 atoms:
Re 0.000 0.000 0.000
Re 0.500 0.500 0.000
Nb 0.178 0.678 0.500
Nb 0.678 0.822 0.500
Nb 0.822 0.322 0.500
Nb 0.322 0.178 0.500
Be 0.381 0.881 0.000
Be 0.881 0.619 0.000
Be 0.619 0.119 0.000
Be 0.119 0.381 0.000

Calculated values
DOS at the Fermi energy (states/eV per cell): 3.93
Formation enthalpy at 0 K (meV/atom): -346
Uncorrected energy (eV/atom): -8.354

=====

Among the records above, which one has the highest DOS at the Fermi energy? Ac8SiNi3Cl4

=====

Among the records above, which one has the highest uncorrected energy? NaPmAg2I6

=====

Which value of DOS at the Fermi energy does entry 5 give? 0.00 states/eV per cell

=====

Copy entry 2 word for word.
## Ac8SiNi3Cl4 (PBE)

Data for a geometry-optimized Ac8SiNi3Cl4 structure.

abc: 8.768 9.185 8.769
angles: 118.51 119.99 90.00
Fractional coordinates of all 16 atoms:
Ac 0.243 0.711 0.969
Ac 0.243 0.711 0.485
Ac 0.264 0.293 0.529
Ac 0.726 0.711 0.969
Ac 0.274 0.289 0.031
Ac 0.736 0.707 0.471
Ac 0.757 0.289 0.515
Ac 0.757 0.289 0.031
Si 0.000 0.500 0.000
Ni 0.500 0.500 0.000
Ni 0.500 0.500 0.500
Ni 0.000 0.500 0.500
Cl 0.500 0.000 0.000
Cl 0.500 0.000 0.500
Cl 0.000 0.000 0.000
Cl 0.000 0.000 0.500

Calculated values
Uncorrected formation energy (eV per formula unit): -15.044
DOS at the Fermi energy (states/eV per cell): 15.33
Uncorrected energy (eV/atom): -4.879